(1)
First-principles (PBEsol) data for Be4SiRh after structural relaxation, as listed in Alexandria via LeMat-Bulk.

extended XYZ file:
```
6
Lattice="-3.2530 -1.1198 2.5406 -0.5021 -4.0870 1.1553 0.7521 -1.1884 4.0389" Properties=species:S:1:pos:R:3 pbc="T T T"
Si 0.0000 0.0000 0.0000
Be -2.7439 -2.9598 4.1687
Be -1.1288 -2.4038 2.9072
Be -1.3781 -4.4331 3.4809
Rh -2.2523 -4.7965 5.8010
Be -0.7553 -2.9939 4.9127
```

Values from the calculation:
Formation energy (no corrections) in kcal/mol of atoms: -8.433
SG: F-43m

---

(2)
First-principles (PBEsol) data for CaSc3Mo after structural relaxation, as listed in Alexandria via LeMat-Bulk.

extended XYZ file:
```
5
Lattice="5.0837 0.0000 0.0000 0.0000 5.0837 0.0000 0.0000 0.0000 5.0837" Properties=species:S:1:pos:R:3 pbc="T T T"
Ca 2.5418 2.5418 2.5418
Mo 0.0000 0.0000 0.0000
Sc 0.0000 2.5418 0.0000
Sc 0.0000 0.0000 2.5418
Sc 2.5418 0.0000 0.0000
```

Values from the calculation:
Final energy in eV/atom: -6.436
SG: Pm-3m

---

(3)
First-principles (PBEsol) data for HfZn3Rh after structural relaxation, as listed in Alexandria via LeMat-Bulk.

extended XYZ file:
```
5
Lattice="-1.2510 -3.3969 -2.7445 -0.6222 -2.6871 3.6095 -4.3225 1.3699 0.2747" Properties=species:S:1:pos:R:3 pbc="T T T"
Zn -0.3111 -1.3435 1.8047
Zn -2.1612 0.6850 0.1373
Zn -0.6255 -1.6984 -1.3722
Rh 0.0000 0.0000 0.0000
Hf -3.0979 -2.3570 0.5698
```

Values from the calculation:
Final energy in eV/atom: -4.248
SG: Pm-3m